No. 1
Density functional theory data (PBE-GGA) for a relaxed KLi2CaRe crystal.

POSCAR file:
```
KLi2CaRe
1.0
4.454 0.000 0.000
0.000 4.454 0.000
0.000 0.000 5.388
K Li Ca Re
1 2 1 1
Direct
0.000 0.000 0.000
0.000 0.500 0.000
0.500 0.000 0.000
0.000 0.000 0.500
0.500 0.500 0.500
```

Results
* formation energy: 8.42 eV per formula unit
* V: 107 Å³/cell

=====

No. 2
Density functional theory data (PBE-GGA) for a relaxed Na2PdAuF6 crystal.

POSCAR file:
```
Na2PdAuF6
1.0
5.727 0.000 0.000
-2.598 5.189 0.000
-2.251 -2.107 5.382
Na Pd Au F
2 1 1 6
Direct
0.000 0.000 0.000
0.029 0.480 0.550
0.619 0.324 0.945
0.607 0.815 0.424
0.020 0.392 0.163
0.207 0.239 0.745
0.489 0.147 0.166
0.489 0.900 0.691
0.769 0.740 0.194
0.780 0.533 0.748
```

Results
* raw formation energy: -1.71 eV/atom
* V: 160 Å³/cell
* relative energy among the computed polymorphs: 0 meV per atom

=====

No. 3
Density functional theory data (PBE-GGA) for a relaxed CaPr8Sm2 crystal.

POSCAR file:
```
CaPr8Sm2
1.0
9.454 -2.627 0.000
9.454 2.627 0.000
-2.153 0.000 8.008
Ca Pr Sm
1 8 2
Direct
0.000 0.000 0.000
0.093 0.093 0.460
0.184 0.184 0.909
0.359 0.359 0.810
0.453 0.453 0.280
0.547 0.547 0.720
0.641 0.641 0.190
0.816 0.816 0.091
0.907 0.907 0.540
0.273 0.273 0.364
0.727 0.727 0.636
```

Results
* formation energy: 0.26 eV per formula unit
* V: 398 Å³/cell